1.
Density functional theory data (GGA-PBE) for an optimized crystal structure of PaPd3Au2.

a = 9.744 Å, b = 9.092 Å, c = 5.321 Å
α = 80.46°, β = 66.96°, γ = 32.59°
Fractional coordinates of all 12 atoms:
Pa 0.156 0.156 0.844
Pa 0.844 0.844 0.156
Pd 0.169 0.669 0.331
Pd 0.329 0.329 0.671
Pd 0.331 0.831 0.169
Pd 0.669 0.169 0.831
Pd 0.671 0.671 0.329
Pd 0.831 0.331 0.669
Au 0.250 0.250 0.250
Au 0.255 0.745 0.745
Au 0.745 0.255 0.255
Au 0.750 0.750 0.750

Output
Total energy = -68.6 eV/cell
ΔH_f (0 K) = -444.5 meV/atom
Crystal system = orthorhombic
Magnetic moment = 0.00 μB per formula unit

=====

2.
Density functional theory data (GGA-PBE) for an optimized crystal structure of MoBr2N.

a = 10.541 Å, b = 10.541 Å, c = 10.541 Å
α = 18.24°, β = 18.24°, γ = 18.24°
Fractional coordinates of all 4 atoms:
Mo 0.000 0.000 0.000
Br 0.076 0.076 0.076
Br 0.924 0.924 0.924
N 0.500 0.500 0.500

Output
Total energy = -16.1 eV/cell
Crystal system = trigonal
Magnetic moment = 1.93 μB per formula unit

=====

3.
Density functional theory data (GGA-PBE) for an optimized crystal structure of La3TlH.

a = 6.879 Å, b = 6.879 Å, c = 11.608 Å
α = 100.84°, β = 100.84°, γ = 32.21°
Fractional coordinates of all 10 atoms:
La 0.049 0.049 0.379
La 0.120 0.120 0.925
La 0.298 0.298 0.338
La 0.702 0.702 0.662
La 0.880 0.880 0.075
La 0.951 0.951 0.621
Tl 0.381 0.381 0.838
Tl 0.619 0.619 0.162
H 0.122 0.122 0.721
H 0.878 0.878 0.279

Output
Total energy = -44.2 eV/cell
Crystal system = monoclinic
Magnetic moment = 0.00 μB per formula unit

=====

4.
Density functional theory data (GGA-PBE) for an optimized crystal structure of Pm4ZrP5.

a = 7.005 Å, b = 7.005 Å, c = 7.005 Å
α = 99.65°, β = 99.65°, γ = 131.65°
Fractional coordinates of all 10 atoms:
Pm 0.097 0.300 0.397
Pm 0.300 0.903 0.203
Pm 0.700 0.097 0.797
Pm 0.903 0.700 0.603
Zr 0.500 0.500 0.000
P 0.000 0.000 0.000
P 0.214 0.596 0.810
P 0.404 0.214 0.618
P 0.596 0.786 0.382
P 0.786 0.404 0.190

Output
Total energy = -69.6 eV/cell
ΔH_f (0 K) = -1499.9 meV/atom
Crystal system = tetragonal
Magnetic moment = 0.00 μB per formula unit

=====

5.
Density functional theory data (GGA-PBE) for an optimized crystal structure of KRb2PtO4.

a = 12.755 Å, b = 11.103 Å, c = 7.977 Å
α = 82.14°, β = 59.58°, γ = 38.28°
Fractional coordinates of all 16 atoms:
K 0.125 0.125 0.125
K 0.875 0.875 0.875
Rb 0.059 0.059 0.691
Rb 0.309 0.309 0.941
Rb 0.691 0.691 0.059
Rb 0.941 0.941 0.309
Pt 0.375 0.375 0.375
Pt 0.625 0.625 0.625
O 0.089 0.665 0.471
O 0.275 0.471 0.665
O 0.335 0.911 0.725
O 0.471 0.275 0.089
O 0.529 0.725 0.911
O 0.665 0.089 0.275
O 0.725 0.529 0.335
O 0.911 0.335 0.529

Output
Total energy = -71.4 eV/cell
Crystal system = orthorhombic
Magnetic moment = 3.01 μB per formula unit

=====

6.
Density functional theory data (GGA-PBE) for an optimized crystal structure of TcMo2Cl.

a = 5.204 Å, b = 5.204 Å, c = 4.338 Å
α = 91.07°, β = 91.07°, γ = 33.25°
Fractional coordinates of all 4 atoms:
Tc 0.000 0.000 0.000
Mo 0.428 0.428 0.445
Mo 0.726 0.726 0.176
Cl 0.215 0.215 0.726

Output
Total energy = -31.7 eV/cell
Crystal system = monoclinic
Magnetic moment = 0.00 μB per formula unit